Material: InSbAuN2
Method: DFT, PBE
State: optimized geometry

The value obtained for the total energy is -4.143 eV per atom. As for the volume: 111.28 Å³/cell. The value obtained for the uncorrected formation energy is 117 kJ/mol of atoms.

```
data_InSbAuN2
_chemical_formula_sum 'In1 Sb1 Au1 N2'
_cell_length_a 4.030
_cell_length_b 6.852
_cell_length_c 4.030
_cell_angle_alpha 90.00
_cell_angle_beta 90.00
_cell_angle_gamma 90.00
_space_group_name_H-M_alt 'P 1'
_space_group_IT_number 1
loop_
_space_group_symop_operation_xyz
'x,y,z'
loop_
_atom_site_label
_atom_site_fract_x
_atom_site_fract_y
_atom_site_fract_z
Au1 0.500 0.500 0.500
N1 0.000 0.000 0.500
N2 0.500 0.000 0.000
In1 0.000 0.500 0.000
Sb1 0.000 0.000 0.000
```